# 1
A relaxed Rb2NaNbI6 crystal, computed with PBE.

a = 8.4822 Å, b = 8.4822 Å, c = 8.4822 Å
α = 60.00°, β = 60.00°, γ = 60.00°
With the nearest neighbours (Å) after each atom.
Positions (direct):
Rb 0.2500 0.2500 0.2500  12 I 4.24
Rb 0.7500 0.7500 0.7500  12 I 4.24
Na 0.0000 0.0000 0.0000  6 I 3.14
Nb 0.5000 0.5000 0.5000  6 I 2.86
I 0.2615 0.2615 0.7385  1 Nb 2.86, 1 Na 3.14
I 0.2615 0.7385 0.2615  1 Nb 2.86, 1 Na 3.14
I 0.2615 0.7385 0.7385  1 Nb 2.86, 1 Na 3.14
I 0.7385 0.2615 0.2615  1 Nb 2.86, 1 Na 3.14
I 0.7385 0.2615 0.7385  1 Nb 2.86, 1 Na 3.14
I 0.7385 0.7385 0.2615  1 Nb 2.86, 1 Na 3.14

Calculated values
Formation energy without anion corrections in eV per atom: -0.9579
SG: Fm-3m, No. 225
M_tot in μB/atom: 0.200


# 2
A relaxed Sr4Li3Au crystal, computed with PBE.

a = 4.6704 Å, b = 4.7782 Å, c = 12.6685 Å
α = 90.00°, β = 90.00°, γ = 90.00°
With the nearest neighbours (Å) after each atom.
Positions (direct):
Sr 0.0000 0.0000 0.0000  2 Au 3.36, 4 Li 3.49
Sr 0.0000 0.5000 0.2653  2 Li 3.31, 4 Au 3.47
Sr 0.5000 0.0000 0.4630  1 Au 3.46, 6 Li 3.55-3.71
Sr 0.5000 0.5000 0.7799  7 Li 3.53-3.80
Li 0.0000 0.0000 0.6904  2 Li 2.91
Li 0.0000 0.5000 0.5587  2 Li 2.91
Li 0.5000 0.5000 0.0796  2 Au 2.77
Au 0.5000 0.0000 0.1902  2 Li 2.77

Calculated values
ΔH_f (0 K) in eV/f.u.: -1.598
SG: Pmm2, No. 25
M_tot in μB/atom: 0.000


# 3
A relaxed CoGeBi2 crystal, computed with PBE.

a = 7.6016 Å, b = 7.6016 Å, c = 7.6016 Å
α = 132.04°, β = 132.04°, γ = 70.16°
With the nearest neighbours (Å) after each atom.
Positions (direct):
Co 0.0000 0.0000 0.0000  4 Bi 2.54
Co 0.7500 0.2500 0.5000  4 Bi 2.54
Ge 0.2500 0.7500 0.5000  4 Bi 2.84
Ge 0.5000 0.5000 0.0000  4 Bi 2.84
Bi 0.0837 0.6250 0.9587  2 Co 2.54, 2 Ge 2.84
Bi 0.3750 0.3337 0.4587  2 Co 2.54, 2 Ge 2.84
Bi 0.6663 0.1250 0.0413  2 Co 2.54, 2 Ge 2.84
Bi 0.8750 0.9163 0.5413  2 Co 2.54, 2 Ge 2.84

Calculated values
ΔH_f (0 K) in eV/f.u.: 1.725
SG: I-42d, No. 122
M_tot in μB/atom: 0.240


# 4
A relaxed NbCu crystal, computed with PBE.

a = 6.2507 Å, b = 6.0524 Å, c = 5.1369 Å
α = 67.35°, β = 63.33°, γ = 49.32°
With the nearest neighbours (Å) after each atom.
Positions (direct):
Nb 0.0504 0.6996 0.0504  6 Cu 2.61-2.72, 1 Nb 2.66
Nb 0.3004 0.9496 0.3004  6 Cu 2.61-2.72, 1 Nb 2.66
Nb 0.6996 0.0504 0.6996  6 Cu 2.61-2.72, 1 Nb 2.66
Nb 0.9496 0.3004 0.9496  6 Cu 2.61-2.72, 1 Nb 2.66
Cu 0.2096 0.5404 0.5404  1 Cu 2.29
Cu 0.4596 0.7904 0.7904  1 Cu 2.29
Cu 0.5404 0.2096 0.2096  1 Cu 2.29
Cu 0.7904 0.4596 0.4596  1 Cu 2.29

Calculated values
ΔH_f (0 K) in eV/f.u.: 0.833
SG: Fddd, No. 70
M_tot in μB/atom: 0.000


# 5
A relaxed Er7Rh2Au2 crystal, computed with PBE.

a = 9.2332 Å, b = 9.2332 Å, c = 9.2332 Å
α = 156.45°, β = 66.74°, γ = 118.57°
With the nearest neighbours (Å) after each atom.
Positions (direct):
Er 0.0000 0.0000 0.0000  3 Au 3.02-3.08
Er 0.0657 0.3808 0.6850  3 Rh 2.83-3.02, 1 Au 3.11
Er 0.0990 0.7400 0.3589  2 Rh 2.88, 2 Au 2.99
Er 0.3811 0.7400 0.6411  2 Rh 2.88, 2 Au 2.99
Er 0.4620 0.5808 0.8812  2 Rh 2.83, 3 Au 3.02-3.08
Er 0.6958 0.3808 0.3150  3 Rh 2.83-3.02, 1 Au 3.11
Er 0.6997 0.5808 0.1188  2 Rh 2.83, 3 Au 3.02-3.08
Rh 0.3263 0.0821 0.2442  7 Er 2.83-3.02
Rh 0.8379 0.0821 0.7558  7 Er 2.83-3.02
Au 0.3260 0.3260 0.0000  7 Er 2.99-3.08
Au 0.7501 0.2501 0.5000  8 Er 3.02-3.11

Calculated values
ΔH_f (0 K) in eV/f.u.: -7.597
Relative energy among the computed polymorphs in eV/atom: 0.000
SG: Imm2, No. 44
M_tot in μB/atom: 0.000


# 6
A relaxed Mg3TlHg crystal, computed with PBE.

a = 5.2661 Å, b = 5.2661 Å, c = 5.2661 Å
α = 90.00°, β = 90.00°, γ = 90.00°
With the nearest neighbours (Å) after each atom.
Positions (direct):
Mg 0.0000 0.0000 0.5000  2 Hg 2.63
Mg 0.0000 0.5000 0.0000  2 Hg 2.63
Mg 0.5000 0.0000 0.0000  2 Hg 2.63
Tl 0.5000 0.5000 0.5000  12 Mg 3.72
Hg 0.0000 0.0000 0.0000  6 Mg 2.63

Calculated values
ΔH_f (0 K) in eV/f.u.: 0.439
Relative energy among the computed polymorphs in eV/atom: 0.176
SG: Pm-3m, No. 221
M_tot in μB/atom: 0.000